[1]
# Dy4Te3Pb, relaxed, DFT GGA-PBE
# Formation energy without anion corrections ... -1.13 eV/atom
# Offset from the most stable computed form ... 0.000 eV per atom
# Raw total energy ... -5.07 eV per atom
data_Dy4Te3Pb
_cell_length_a 8.757
_cell_length_b 12.408
_cell_length_c 4.397
_cell_angle_alpha 90.00
_cell_angle_beta 90.00
_cell_angle_gamma 90.00
_symmetry_space_group_name_H-M 'C m m m'
_symmetry_Int_Tables_number 65
_symmetry_space_group_name_Hall '-C 2 2'
loop_
_atom_site_label
_atom_site_type_symbol
_atom_site_fract_x
_atom_site_fract_y
_atom_site_fract_z
Dy1 Dy 0.000 0.246 0.000
Dy2 Dy 0.243 0.000 0.500
Te1 Te 0.000 0.500 0.000
Te2 Te 0.250 0.250 0.500
Pb1 Pb 0.000 0.000 0.000

[2]
# Dy4Te2Pb, relaxed, DFT GGA-PBE
# Formation energy without anion corrections ... -0.81 eV/atom
# Raw total energy ... -4.87 eV per atom
data_Dy4Te2Pb
_cell_length_a 9.619
_cell_length_b 9.619
_cell_length_c 9.381
_cell_angle_alpha 90.00
_cell_angle_beta 90.00
_cell_angle_gamma 90.00
_symmetry_space_group_name_H-M 'I 41/a m d'
_symmetry_Int_Tables_number 141
loop_
_symmetry_equiv_pos_as_xyz
'x,y,z'
'-x,-y,-z'
'-y+1/4,x+3/4,z+1/4'
'y+1/4,-x+3/4,-z+1/4'
'-x+1/2,-y,z+1/2'
'x+1/2,y,-z+1/2'
'y+1/4,-x+1/4,z+3/4'
'-y+1/4,x+1/4,-z+3/4'
'x,-y,-z'
'-x,y,z'
'-y+1/4,-x+1/4,-z+3/4'
'y+1/4,x+1/4,z+3/4'
'-x+1/2,y,-z+1/2'
'x+1/2,-y,z+1/2'
'y+1/4,x+3/4,-z+1/4'
'-y+1/4,-x+3/4,z+1/4'
'x+1/2,y+1/2,z+1/2'
'-x+1/2,-y+1/2,-z+1/2'
'-y+3/4,x+1/4,z+3/4'
'y+3/4,-x+1/4,-z+3/4'
'-x,-y+1/2,z'
'x,y+1/2,-z'
'y+3/4,-x+3/4,z+1/4'
'-y+3/4,x+3/4,-z+1/4'
'x+1/2,-y+1/2,-z+1/2'
'-x+1/2,y+1/2,z+1/2'
'-y+3/4,-x+3/4,-z+1/4'
'y+3/4,x+3/4,z+1/4'
'-x,y+1/2,-z'
'x,-y+1/2,z'
'y+3/4,x+1/4,-z+3/4'
'-y+3/4,-x+1/4,z+3/4'
loop_
_atom_site_label
_atom_site_type_symbol
_atom_site_fract_x
_atom_site_fract_y
_atom_site_fract_z
Dy1 Dy 0.000 0.061 0.183
Te1 Te 0.000 0.000 0.500
Pb1 Pb 0.000 0.250 0.875

[3]
# Dy6Te3Pb, relaxed, DFT GGA-PBE
# Formation energy without anion corrections ... -0.83 eV/atom
# Raw total energy ... -4.90 eV per atom
data_Dy6Te3Pb
_cell_length_a 12.196
_cell_length_b 4.123
_cell_length_c 12.568
_cell_angle_alpha 90.00
_cell_angle_beta 104.42
_cell_angle_gamma 90.00
_symmetry_space_group_name_H-M 'P 1 21/m 1'
_symmetry_Int_Tables_number 11
loop_
_symmetry_equiv_pos_as_xyz
'x,y,z'
'-x,-y,-z'
'-x,y+1/2,-z'
'x,-y+1/2,z'
loop_
_atom_site_label
_atom_site_type_symbol
_atom_site_fract_x
_atom_site_fract_y
_atom_site_fract_z
Dy1 Dy 0.014 0.250 0.354
Dy2 Dy 0.080 0.250 0.884
Dy3 Dy 0.251 0.750 0.297
Dy4 Dy 0.288 0.750 0.763
Dy5 Dy 0.379 0.250 0.540
Dy6 Dy 0.451 0.750 0.121
Te1 Te 0.110 0.250 0.141
Te2 Te 0.173 0.750 0.512
Te3 Te 0.334 0.250 0.952
Pb1 Pb 0.456 0.250 0.312

[4]
# Dy5Te5Pb, relaxed, DFT GGA-PBE
# Formation energy without anion corrections ... -1.25 eV/atom
# Raw total energy ... -5.10 eV per atom
data_Dy5Te5Pb
_cell_length_a 13.799
_cell_length_b 6.187
_cell_length_c 8.713
_cell_angle_alpha 90.00
_cell_angle_beta 108.33
_cell_angle_gamma 90.00
_symmetry_space_group_name_H-M 'C 1 2/m 1'
_symmetry_Int_Tables_number 12
loop_
_symmetry_equiv_pos_as_xyz
'x,y,z'
'-x,-y,-z'
'-x,y,-z'
'x,-y,z'
'x+1/2,y+1/2,z'
'-x+1/2,-y+1/2,-z'
'-x+1/2,y+1/2,-z'
'x+1/2,-y+1/2,z'
loop_
_atom_site_label
_atom_site_type_symbol
_atom_site_fract_x
_atom_site_fract_y
_atom_site_fract_z
Dy1 Dy 0.000 0.000 0.000
Dy2 Dy 0.164 0.500 0.332
Dy3 Dy 0.164 0.500 0.830
Te1 Te 0.000 0.500 0.500
Te2 Te 0.165 0.000 0.337
Te3 Te 0.166 0.000 0.830
Pb1 Pb 0.000 0.500 0.000

[5]
# Dy4Te3Pb, relaxed, DFT GGA-PBE
# Formation energy without anion corrections ... -1.13 eV/atom
# Offset from the most stable computed form ... 0.002 eV per atom
# Raw total energy ... -5.07 eV per atom
data_Dy4Te3Pb
_cell_length_a 7.580
_cell_length_b 8.803
_cell_length_c 7.606
_cell_angle_alpha 90.00
_cell_angle_beta 109.70
_cell_angle_gamma 90.00
_symmetry_space_group_name_H-M 'P 1 2/c 1'
_symmetry_Int_Tables_number 13
loop_
_symmetry_equiv_pos_as_xyz
'x,y,z'
'-x,-y,-z'
'-x,y,-z+1/2'
'x,-y,z+1/2'
loop_
_atom_site_label
_atom_site_type_symbol
_atom_site_fract_x
_atom_site_fract_y
_atom_site_fract_z
Dy1 Dy 0.245 0.121 0.001
Dy2 Dy 0.247 0.371 0.495
Te1 Te 0.000 0.376 0.750
Te2 Te 0.500 0.127 0.750
Te3 Te 0.500 0.377 0.250
Pb1 Pb 0.000 0.125 0.250

[6]
# Dy5Te2Pb2, relaxed, DFT GGA-PBE
# Formation energy without anion corrections ... -0.64 eV/atom
# Offset from the most stable computed form ... 0.199 eV per atom
# Raw total energy ... -4.72 eV per atom
data_Dy5Te2Pb2
_cell_length_a 17.344
_cell_length_b 7.767
_cell_length_c 8.208
_cell_angle_alpha 90.00
_cell_angle_beta 90.00
_cell_angle_gamma 90.00
_symmetry_space_group_name_H-M 'I m a 2'
_symmetry_Int_Tables_number 46
loop_
_symmetry_equiv_pos_as_xyz
'x,y,z'
'-x,-y,z'
'-x+1/2,y,z'
'x+1/2,-y,z'
'x+1/2,y+1/2,z+1/2'
'-x+1/2,-y+1/2,z+1/2'
'-x,y+1/2,z+1/2'
'x,-y+1/2,z+1/2'
loop_
_atom_site_label
_atom_site_type_symbol
_atom_site_fract_x
_atom_site_fract_y
_atom_site_fract_z
Dy1 Dy 0.055 0.224 0.000
Dy2 Dy 0.155 0.635 0.888
Dy3 Dy 0.250 0.175 0.732
Te1 Te 0.000 0.000 0.269
Te2 Te 0.250 0.541 0.569
Pb1 Pb 0.088 0.545 0.227

[7]
# Dy5Te4Pb, relaxed, DFT GGA-PBE
# Formation energy without anion corrections ... -1.15 eV/atom
# Offset from the most stable computed form ... 0.017 eV per atom
# Raw total energy ... -5.08 eV per atom
data_Dy5Te4Pb
_cell_length_a 4.373
_cell_length_b 4.373
_cell_length_c 31.030
_cell_angle_alpha 90.00
_cell_angle_beta 90.00
_cell_angle_gamma 90.00
_symmetry_space_group_name_H-M 'I 4/m m m'
_symmetry_Int_Tables_number 139
_symmetry_space_group_name_Hall '-I 4 2'
loop_
_atom_site_label
_atom_site_type_symbol
_atom_site_fract_x
_atom_site_fract_y
_atom_site_fract_z
Dy1 Dy 0.000 0.000 0.000
Dy2 Dy 0.000 0.000 0.203
Dy3 Dy 0.000 0.000 0.402
Te1 Te 0.000 0.000 0.102
Te2 Te 0.000 0.000 0.302
Pb1 Pb 0.000 0.000 0.500

[8]
# Dy8Te3Pb2, relaxed, DFT GGA-PBE
# Formation energy without anion corrections ... -0.55 eV/atom
# Raw total energy ... -4.67 eV per atom
data_Dy8Te3Pb2
_cell_length_a 14.669
_cell_length_b 8.364
_cell_length_c 6.869
_cell_angle_alpha 90.00
_cell_angle_beta 97.19
_cell_angle_gamma 90.00
_symmetry_space_group_name_H-M 'C 1 2/m 1'
_symmetry_Int_Tables_number 12
loop_
_symmetry_equiv_pos_as_xyz
'x,y,z'
'-x,-y,-z'
'-x,y,-z'
'x,-y,z'
'x+1/2,y+1/2,z'
'-x+1/2,-y+1/2,-z'
'-x+1/2,y+1/2,-z'
'x+1/2,-y+1/2,z'
loop_
_atom_site_label
_atom_site_type_symbol
_atom_site_fract_x
_atom_site_fract_y
_atom_site_fract_z
Dy1 Dy 0.091 0.000 0.371
Dy2 Dy 0.117 0.209 0.876
Dy3 Dy 0.163 0.500 0.353
Te1 Te 0.000 0.297 0.500
Te2 Te 0.000 0.500 0.000
Pb1 Pb 0.243 0.500 0.840

[9]
# DyThTePb, relaxed, DFT GGA-PBE
# Formation energy without anion corrections ... -0.65 eV/atom
# Raw total energy ... -5.37 eV per atom
data_DyThTePb
_cell_length_a 7.717
_cell_length_b 7.717
_cell_length_c 7.717
_cell_angle_alpha 90.00
_cell_angle_beta 90.00
_cell_angle_gamma 90.00
_symmetry_space_group_name_H-M 'F -4 3 m'
_symmetry_Int_Tables_number 216
_symmetry_space_group_name_Hall 'F -4 2 3'
loop_
_atom_site_label
_atom_site_type_symbol
_atom_site_fract_x
_atom_site_fract_y
_atom_site_fract_z
Dy1 Dy 0.000 0.000 0.000
Th1 Th 0.000 0.000 0.500
Te1 Te 0.250 0.250 0.750
Pb1 Pb 0.250 0.250 0.250

[10]
# Dy2TlTe6Pb3, relaxed, DFT GGA-PBE
# Formation energy without anion corrections ... -0.71 eV/atom
# Raw total energy ... -4.17 eV per atom
data_Dy2TlTe6Pb3
_cell_length_a 19.896
_cell_length_b 4.471
_cell_length_c 9.507
_cell_angle_alpha 90.00
_cell_angle_beta 103.17
_cell_angle_gamma 90.00
_symmetry_space_group_name_H-M 'C 1 2/m 1'
_symmetry_Int_Tables_number 12
loop_
_symmetry_equiv_pos_as_xyz
'x,y,z'
'-x,-y,-z'
'-x,y,-z'
'x,-y,z'
'x+1/2,y+1/2,z'
'-x+1/2,-y+1/2,-z'
'-x+1/2,y+1/2,-z'
'x+1/2,-y+1/2,z'
loop_
_atom_site_label
_atom_site_type_symbol
_atom_site_fract_x
_atom_site_fract_y
_atom_site_fract_z
Dy1 Dy 0.168 0.000 0.345
Tl1 Tl 0.000 0.500 0.000
Te1 Te 0.011 0.000 0.265
Te2 Te 0.170 0.500 0.578
Te3 Te 0.176 0.500 0.117
Pb1 Pb 0.000 0.500 0.500
Pb2 Pb 0.158 0.000 0.846

[11]
# Dy2Tl3Te6Pb, relaxed, DFT GGA-PBE
# Formation energy without anion corrections ... -0.79 eV/atom
# Raw total energy ... -4.03 eV per atom
data_Dy2Tl3Te6Pb
_cell_length_a 7.865
_cell_length_b 13.635
_cell_length_c 8.306
_cell_angle_alpha 90.00
_cell_angle_beta 108.43
_cell_angle_gamma 90.00
_symmetry_space_group_name_H-M 'C 1 2/m 1'
_symmetry_Int_Tables_number 12
loop_
_symmetry_equiv_pos_as_xyz
'x,y,z'
'-x,-y,-z'
'-x,y,-z'
'x,-y,z'
'x+1/2,y+1/2,z'
'-x+1/2,-y+1/2,-z'
'-x+1/2,y+1/2,-z'
'x+1/2,-y+1/2,z'
loop_
_atom_site_label
_atom_site_type_symbol
_atom_site_fract_x
_atom_site_fract_y
_atom_site_fract_z
Dy1 Dy 0.000 0.169 0.000
Tl1 Tl 0.000 0.000 0.500
Tl2 Tl 0.000 0.339 0.500
Te1 Te 0.221 0.000 0.217
Te2 Te 0.250 0.175 0.776
Pb1 Pb 0.000 0.500 0.000

[12]
# Dy6Tl2Te3Pb, relaxed, DFT GGA-PBE
# Formation energy without anion corrections ... -0.85 eV/atom
# Raw total energy ... -4.64 eV per atom
data_Dy6Tl2Te3Pb
_cell_length_a 19.762
_cell_length_b 4.395
_cell_length_c 8.808
_cell_angle_alpha 90.00
_cell_angle_beta 112.00
_cell_angle_gamma 90.00
_symmetry_space_group_name_H-M 'C 1 2/m 1'
_symmetry_Int_Tables_number 12
loop_
_symmetry_equiv_pos_as_xyz
'x,y,z'
'-x,-y,-z'
'-x,y,-z'
'x,-y,z'
'x+1/2,y+1/2,z'
'-x+1/2,-y+1/2,-z'
'-x+1/2,y+1/2,-z'
'x+1/2,-y+1/2,z'
loop_
_atom_site_label
_atom_site_type_symbol
_atom_site_fract_x
_atom_site_fract_y
_atom_site_fract_z
Dy1 Dy 0.009 0.000 0.251
Dy2 Dy 0.161 0.500 0.637
Dy3 Dy 0.170 0.500 0.136
Tl1 Tl 0.187 0.000 0.408
Te1 Te 0.000 0.500 0.500
Te2 Te 0.163 0.000 0.879
Pb1 Pb 0.000 0.500 0.000